[1]
# Pa3Cd5S12 (PBE, optimized geometry)
# uncorrected formation energy = -1809 kJ/mol of formula units
data_Pa3Cd5S12
_chemical_formula_sum 'Pa24 Cd40 S96'
_cell_length_a 15.5910
_cell_length_b 15.5910
_cell_length_c 15.5910
_cell_angle_alpha 90.00
_cell_angle_beta 90.00
_cell_angle_gamma 90.00
_symmetry_space_group_name_H-M 'I a -3 d'
_symmetry_Int_Tables_number 230
_symmetry_space_group_name_Hall '-I 4bd 2c 3'
loop_
_atom_site_label
_atom_site_type_symbol
_atom_site_fract_x
_atom_site_fract_y
_atom_site_fract_z
Pa1 Pa 0.0000 0.2500 0.1250
Cd1 Cd 0.0000 0.0000 0.0000
Cd2 Cd 0.0000 0.2500 0.3750
S1 S 0.0188 0.0712 0.6540



[2]
# Ti3Zn12Au5 (PBE, optimized geometry)
# formation energy from the elements = 292 meV/atom
data_Ti3Zn12Au5
_chemical_formula_sum 'Ti24 Zn96 Au40'
_cell_length_a 15.0460
_cell_length_b 15.0460
_cell_length_c 15.0460
_cell_angle_alpha 90.00
_cell_angle_beta 90.00
_cell_angle_gamma 90.00
_symmetry_space_group_name_H-M 'I a -3 d'
_symmetry_Int_Tables_number 230
_symmetry_space_group_name_Hall '-I 4bd 2c 3'
loop_
_atom_site_label
_atom_site_type_symbol
_atom_site_fract_x
_atom_site_fract_y
_atom_site_fract_z
Ti1 Ti 0.0000 0.2500 0.1250
Zn1 Zn 0.0129 0.0779 0.6522
Au1 Au 0.0000 0.0000 0.0000
Au2 Au 0.0000 0.2500 0.3750



[3]
# TcMo2Cl (PBE, optimized geometry)
# uncorrected formation energy = 195 kJ/mol of formula units
# offset from the most stable computed form = 0.264 eV per atom
data_TcMo2Cl
_chemical_formula_sum 'Tc1 Mo2 Cl1'
_cell_length_a 3.0530
_cell_length_b 3.8853
_cell_length_c 6.9805
_cell_angle_alpha 90.00
_cell_angle_beta 90.00
_cell_angle_gamma 90.00
_symmetry_space_group_name_H-M 'P m m 2'
_symmetry_Int_Tables_number 25
loop_
_symmetry_equiv_pos_as_xyz
'x,y,z'
'-x,-y,z'
'-x,y,z'
'x,-y,z'
loop_
_atom_site_label
_atom_site_type_symbol
_atom_site_fract_x
_atom_site_fract_y
_atom_site_fract_z
Tc1 Tc 0.0000 0.0000 0.0000
Mo1 Mo 0.0000 0.0000 0.6746
Mo2 Mo 0.5000 0.5000 0.8480
Cl1 Cl 0.5000 0.5000 0.2075



[4]
# CaAc2P2I2 (PBE, optimized geometry)
# uncorrected formation energy = -851 kJ/mol of formula units
data_CaAc2P2I2
_chemical_formula_sum 'Ca2 Ac4 P4 I4'
_cell_length_a 5.3116
_cell_length_b 5.3116
_cell_length_c 16.9646
_cell_angle_alpha 90.00
_cell_angle_beta 90.00
_cell_angle_gamma 90.00
_symmetry_space_group_name_H-M 'I 4/m m m'
_symmetry_Int_Tables_number 139
_symmetry_space_group_name_Hall '-I 4 2'
loop_
_atom_site_label
_atom_site_type_symbol
_atom_site_fract_x
_atom_site_fract_y
_atom_site_fract_z
Ca1 Ca 0.0000 0.0000 0.0000
Ac1 Ac 0.0000 0.0000 0.3969
P1 P 0.0000 0.5000 0.0000
I1 I 0.0000 0.0000 0.1949



[5]
# VSb3Pt (PBE, optimized geometry)
# uncorrected formation energy = 245 kJ/mol of formula units
# offset from the most stable computed form = 0.000 eV per atom
data_VSb3Pt
_chemical_formula_sum 'V1 Sb3 Pt1'
_cell_length_a 5.0002
_cell_length_b 5.0002
_cell_length_c 5.0002
_cell_angle_alpha 90.00
_cell_angle_beta 90.00
_cell_angle_gamma 90.00
_symmetry_space_group_name_H-M 'P m -3 m'
_symmetry_Int_Tables_number 221
_symmetry_space_group_name_Hall '-P 4 2 3'
loop_
_atom_site_label
_atom_site_type_symbol
_atom_site_fract_x
_atom_site_fract_y
_atom_site_fract_z
V1 V 0.0000 0.0000 0.0000
Sb1 Sb 0.0000 0.0000 0.5000
Pt1 Pt 0.5000 0.5000 0.5000



[6]
# Pu2ThSi2Au2 (PBE, optimized geometry)
# uncorrected formation energy = -213 kJ/mol of formula units
data_Pu2ThSi2Au2
_chemical_formula_sum 'Pu6 Th3 Si6 Au6'
_cell_length_a 4.1397
_cell_length_b 4.1397
_cell_length_c 28.1407
_cell_angle_alpha 90.00
_cell_angle_beta 90.00
_cell_angle_gamma 120.00
_symmetry_space_group_name_H-M 'R -3 m'
_symmetry_Int_Tables_number 166
_symmetry_space_group_name_Hall '-R 3 2"'
loop_
_atom_site_label
_atom_site_type_symbol
_atom_site_fract_x
_atom_site_fract_y
_atom_site_fract_z
Pu1 Pu 0.0000 0.0000 0.1519
Th1 Th 0.0000 0.0000 0.0000
Si1 Si 0.0000 0.0000 0.2517
Au1 Au 0.0000 0.0000 0.4062



Number 1: total DFT energy (no corrections) -5.067 eV per atom. Number 2: total DFT energy (no corrections) -2.476 eV per atom. Number 3: total DFT energy (no corrections) -7.963 eV per atom. Number 4: total DFT energy (no corrections) -4.708 eV per atom. Number 5: total DFT energy (no corrections) -4.997 eV per atom. Number 6: total DFT energy (no corrections) -7.957 eV per atom.